Entry from Alexandria: a PBEsol-optimized structure of TiAl2Cr3C2 (SCAN).

Output
Its symmetry is No. 156. The value obtained for the magnetization is 2.3 Bohr magnetons per cell. The calculation puts the total DFT energy (no corrections) at -13.699 eV/atom.

Unit cell a=2.867 b=2.867 c=12.819 alpha=90.00 beta=90.00 gamma=120.00
Positions (direct):
Cr (0.000, 0.000, 0.077)
Cr (0.333, 0.667, 0.592)
Cr (0.333, 0.667, 0.915)
Al (0.333, 0.667, 0.237)
Al (0.000, 0.000, 0.754)
Ti (0.000, 0.000, 0.416)
C (0.667, 0.333, 0.996)
C (0.667, 0.333, 0.512)

Entry from Alexandria: a PBEsol-optimized structure of K2MoOs (SCAN).

Output
As for the offset from the most stable computed form: 603 meV per atom. Its symmetry is No. 65. The value obtained for the magnetization is 0.0 Bohr magnetons per cell.

Unit cell a=2.686 b=2.686 c=11.890 alpha=90.00 beta=90.00 gamma=112.60
Positions (direct):
K (0.000, 0.000, 0.763)
K (0.000, 0.000, 0.237)
Mo (0.500, 0.500, 0.500)
Os (0.500, 0.500, 0.000)

Entry from Alexandria: a PBEsol-optimized structure of LiTlRe (SCAN).

Output
As for the offset from the most stable computed form: 7 meV per atom. Its symmetry is No. 156. The value obtained for the magnetization is 0.0 Bohr magnetons per cell.

Unit cell a=2.889 b=2.889 c=7.164 alpha=90.00 beta=90.00 gamma=120.00
Positions (direct):
Li (0.000, 0.000, 0.988)
Tl (0.667, 0.333, 0.333)
Re (0.333, 0.667, 0.679)